No. 1
Density functional theory data (SCAN) for a crystal of Cs3BeNi relaxed with PBEsol.

a b c (Å): 6.507 6.507 6.507
angles (deg): 90.00 90.00 90.00
Space group Pm-3m (No. 221)
Symmetry-distinct sites (fractional):
Cs 0.000 0.000 0.500 (multiplicity 3)
Be 0.000 0.000 0.000 (multiplicity 1)
Ni 0.500 0.500 0.500 (multiplicity 1)

The formation energy is 113.3 kJ/mol of atoms. For the uncorrected energy, the calculation gives -25.618 eV/atom. The density comes out at 2.811 g/cm3.

***

No. 2
Density functional theory data (SCAN) for a crystal of K2TiHgBr relaxed with PBEsol.

a b c (Å): 5.938 5.938 6.474
angles (deg): 90.00 90.00 90.00
Space group P4/mmm (No. 123)
Symmetry-distinct sites (fractional):
K 0.000 0.500 0.000 (multiplicity 2)
Ti 0.000 0.000 0.500 (multiplicity 1)
Hg 0.500 0.500 0.500 (multiplicity 1)
Br 0.500 0.500 0.000 (multiplicity 1)

For the uncorrected energy, the calculation gives -23.992 eV/atom. The density comes out at 2.957 g/cm3.

***

No. 3
Density functional theory data (SCAN) for a crystal of Mo3PtSe relaxed with PBEsol.

a b c (Å): 4.489 4.489 4.489
angles (deg): 90.00 90.00 90.00
Space group Pm-3m (No. 221)
Symmetry-distinct sites (fractional):
Mo 0.000 0.000 0.500 (multiplicity 3)
Pt 0.500 0.500 0.500 (multiplicity 1)
Se 0.000 0.000 0.000 (multiplicity 1)

For the uncorrected energy, the calculation gives -37.737 eV/atom. The density comes out at 10.313 g/cm3.

***

No. 4
Density functional theory data (SCAN) for a crystal of CaLa2Cu relaxed with PBEsol.

a b c (Å): 3.584 3.584 8.924
angles (deg): 90.00 90.00 90.00
Space group P4mm (No. 99)
Symmetry-distinct sites (fractional):
Ca 0.000 0.000 0.000 (multiplicity 1)
La 0.000 0.000 0.385 (multiplicity 1)
La 0.500 0.500 0.669 (multiplicity 1)
Cu 0.500 0.500 0.198 (multiplicity 1)

The formation energy is -2.3 kJ/mol of atoms. For the uncorrected energy, the calculation gives -27.792 eV/atom. The density comes out at 5.526 g/cm3.